Run 1
Compound: Sr2Ca
Source: Alexandria via LeMat-Bulk
Functional: PBE
Structure: relaxed Values from VASP.

The structure in Quantum ESPRESSO input format:
```
&SYSTEM
  ibrav = 0, nat = 6, ntyp = 2
/
ATOMIC_SPECIES
Sr 87.62 Sr.upf
Ca 40.08 Ca.upf
CELL_PARAMETERS angstrom
4.136 0.000 0.000
-2.068 3.582 0.000
0.000 0.000 20.498
ATOMIC_POSITIONS angstrom
Sr 0.000 2.388 1.775
Sr 0.000 2.388 8.473
Sr 2.068 1.194 12.024
Sr 2.068 1.194 18.722
Ca 0.000 2.388 15.373
Ca 2.068 1.194 5.124
```

- D(E_F): 6.6 states/eV per cell
- Crystal system: hexagonal
- Total moment: 0.000 μB per formula unit

***

Run 2
Compound: Sr2Ca
Source: Alexandria via LeMat-Bulk
Functional: PBE
Structure: relaxed Values from VASP.

The structure in Quantum ESPRESSO input format:
```
&SYSTEM
  ibrav = 0, nat = 24, ntyp = 2
/
ATOMIC_SPECIES
Sr 87.62 Sr.upf
Ca 40.08 Ca.upf
CELL_PARAMETERS angstrom
0.000 8.577 8.577
8.577 0.000 8.577
8.577 8.577 0.000
ATOMIC_POSITIONS angstrom
Sr 0.000 0.000 0.000
Sr 4.289 4.289 0.000
Sr 4.289 0.000 4.289
Sr 6.433 6.433 3.095
Sr 6.433 3.095 6.433
Sr 9.771 6.433 6.433
Sr 10.722 10.722 7.383
Sr 10.722 7.383 10.722
Sr 14.060 10.722 10.722
Sr 0.000 4.289 4.289
Sr 3.095 6.433 6.433
Sr 6.433 9.771 6.433
Sr 6.433 6.433 9.771
Sr 7.383 10.722 10.722
Sr 10.722 14.060 10.722
Sr 10.722 10.722 14.060
Ca 13.579 7.864 7.864
Ca 3.575 3.575 3.575
Ca 9.291 9.291 3.575
Ca 9.291 3.575 9.291
Ca 7.864 13.579 7.864
Ca 7.864 7.864 13.579
Ca 13.579 13.579 13.579
Ca 3.575 9.291 9.291
```

- D(E_F): 27.8 states/eV per cell
- Crystal system: cubic
- Total moment: 0.000 μB per formula unit

***

Which is less stable than every other structure shown? run 2 is.